Record 1
Computed, not measured: crystalline Cd2Cu7Sn2Pd at its relaxed geometry at the GGA-PBE level of DFT.

abc: 5.199 5.143 15.458
angles: 90.00 94.41 90.00
Space group C2/m (No. 12)
One atom of each set of equivalent atoms:
Cd (0.081, 0.000, 0.258) x4
Cu (0.000, 0.000, 0.000) x2
Cu (0.168, 0.000, 0.447) x4
Cu (0.217, 0.249, 0.876) x8
Sn (0.141, 0.500, 0.384) x4
Pd (0.000, 0.500, 0.000) x2

Computed properties:
ΔH_f (0 K) = 96 meV per atom
Calculated total energy = -0.130 hartree per atom
Calculated volume = 412 Å³ per cell


Record 2
Computed, not measured: crystalline TlCN2 at its relaxed geometry at the GGA-PBE level of DFT.

abc: 4.913 4.913 6.809
angles: 90.00 90.00 90.00
Space group I-42d (No. 122)
One atom of each set of equivalent atoms:
Tl (0.000, 0.000, 0.000) x4
C (0.000, 0.000, 0.500) x4
N (0.093, 0.250, 0.625) x8

Computed properties:
Calculated total energy = -0.213 hartree per atom
Calculated volume = 164 Å³ per cell


Record 3
Computed, not measured: crystalline Ir7Rh3 at its relaxed geometry at the GGA-PBE level of DFT.

abc: 13.941 3.855 5.473
angles: 90.00 101.23 90.00
Space group C2/m (No. 12)
One atom of each set of equivalent atoms:
Ir (0.000, 0.000, 0.000) x2
Ir (0.099, 0.500, 0.799) x4
Ir (0.101, 0.500, 0.301) x4
Ir (0.201, 0.000, 0.600) x4
Rh (0.000, 0.000, 0.500) x2
Rh (0.198, 0.000, 0.099) x4

Computed properties:
ΔH_f (0 K) = 3 meV per atom
Calculated total energy = -0.309 hartree per atom
Calculated volume = 289 Å³ per cell


DOS(E_F) (states/eV per atom)
0.323, 0.550, 1.183